The following is a PBE calculation of a relaxed structure of LaCuBiBr2, from Alexandria.

abc: 4.903 4.903 6.300
angles: 90.00 90.00 90.00
Positions (direct):
La 0.000 0.000 0.000
Cu 0.000 0.000 0.500
Bi 0.500 0.500 0.000
Br 0.000 0.500 0.500
Br 0.500 0.000 0.500

Summary:
The density comes out at 6.3 g/cm3. For the energy relative to the elements, uncorrected, the calculation gives -0.311 eV per atom. The total DFT energy (no corrections) comes out at -17.8 eV per cell. As for the volume: 151.5 Å³ per cell.

The following is a PBE calculation of a relaxed structure of YbGa2H6, from Alexandria.

abc: 5.454 5.454 5.454
angles: 139.47 104.08 89.81
Positions (direct):
Yb 0.000 0.000 0.000
Ga 0.331 0.831 0.500
Ga 0.669 0.169 0.500
H 0.262 0.391 0.653
H 0.262 0.609 0.871
H 0.285 0.285 0.000
H 0.715 0.715 0.000
H 0.738 0.391 0.129
H 0.738 0.609 0.347

Summary:
The density comes out at 5.4 g/cm3. The total DFT energy (no corrections) comes out at -26.3 eV per cell. As for the volume: 97.9 Å³ per cell.

The following is a PBE calculation of a relaxed structure of NiHgAs2Se, from Alexandria.

abc: 5.138 5.138 5.270
angles: 90.00 90.00 90.00
Positions (direct):
Ni 0.000 0.000 0.000
Hg 0.500 0.500 0.500
As 0.000 0.500 0.500
As 0.500 0.000 0.500
Se 0.500 0.500 0.000

Summary:
The density comes out at 5.8 g/cm3. For the energy relative to the elements, uncorrected, the calculation gives 1.421 eV per atom. The total DFT energy (no corrections) comes out at -11.8 eV per cell. As for the volume: 139.1 Å³ per cell. Its relative energy among the computed polymorphs is 1043 meV/atom.